(1)
Density functional theory data (PBE) for Tb4DyZn5 after structural relaxation.

Calculated formation energy, eV per atom: -0.337
Magnetization, Bohr magnetons per cell: 0.00
DOS at the Fermi energy, states/eV per cell: 12.07

a = 3.583 Å, b = 3.583 Å, c = 17.871 Å
α = 90.00°, β = 90.00°, γ = 90.00°
Sites, in units of the cell vectors:
Tb 0.000 0.000 0.100
Tb 0.000 0.000 0.300
Tb 0.000 0.000 0.700
Tb 0.000 0.000 0.900
Dy 0.000 0.000 0.500
Zn 0.500 0.500 0.000
Zn 0.500 0.500 0.200
Zn 0.500 0.500 0.401
Zn 0.500 0.500 0.599
Zn 0.500 0.500 0.800


(2)
Density functional theory data (PBE) for La8AlGe3I4 after structural relaxation.

Magnetization, Bohr magnetons per cell: 0.00
DOS at the Fermi energy, states/eV per cell: 7.51
Energy relative to the elements, uncorrected, kJ per mole of atoms: -95

a = 9.299 Å, b = 9.299 Å, c = 9.299 Å
α = 57.91°, β = 57.91°, γ = 57.91°
Sites, in units of the cell vectors:
La 0.233 0.738 0.738
La 0.235 0.235 0.235
La 0.262 0.262 0.767
La 0.262 0.767 0.262
La 0.738 0.233 0.738
La 0.738 0.738 0.233
La 0.765 0.765 0.765
La 0.767 0.262 0.262
Al 0.500 0.500 0.500
Ge 0.000 0.000 0.500
Ge 0.000 0.500 0.000
Ge 0.500 0.000 0.000
I 0.000 0.000 0.000
I 0.000 0.500 0.500
I 0.500 0.000 0.500
I 0.500 0.500 0.000


(3)
Density functional theory data (PBE) for BaTeAsF2 after structural relaxation.

Magnetization, Bohr magnetons per cell: 0.00
DOS at the Fermi energy, states/eV per cell: 1.95
Energy relative to the elements, uncorrected, kJ per mole of atoms: -149

a = 4.757 Å, b = 4.757 Å, c = 5.660 Å
α = 90.00°, β = 90.00°, γ = 90.00°
Sites, in units of the cell vectors:
Ba 0.000 0.000 0.000
Te 0.500 0.500 0.000
As 0.500 0.500 0.500
F 0.000 0.500 0.500
F 0.500 0.000 0.500


(4)
Density functional theory data (PBE) for MnZnBr4 after structural relaxation.

Relative energy among the computed polymorphs, eV per atom: 1.3603
Magnetization, Bohr magnetons per cell: 3.82
DOS at the Fermi energy, states/eV per cell: 7.72
Energy relative to the elements, uncorrected, kJ per mole of atoms: 70

a = 6.320 Å, b = 6.320 Å, c = 6.320 Å
α = 60.00°, β = 60.00°, γ = 60.00°
Sites, in units of the cell vectors:
Mn 0.000 0.000 0.000
Zn 0.750 0.750 0.750
Br 0.374 0.374 0.374
Br 0.374 0.374 0.877
Br 0.374 0.877 0.374
Br 0.877 0.374 0.374


(5)
Density functional theory data (PBE) for NaLaH2 after structural relaxation.

Relative energy among the computed polymorphs, eV per atom: 0.1890
Magnetization, Bohr magnetons per cell: 0.00
DOS at the Fermi energy, states/eV per cell: 2.25

a = 4.455 Å, b = 4.455 Å, c = 4.455 Å
α = 60.00°, β = 60.00°, γ = 60.00°
Sites, in units of the cell vectors:
Na 0.000 0.000 0.000
La 0.500 0.500 0.500
H 0.250 0.250 0.250
H 0.750 0.750 0.750


(6)
Density functional theory data (PBE) for BaBi6Pd12 after structural relaxation.

Calculated formation energy, eV per atom: -0.224
Magnetization, Bohr magnetons per cell: 0.00
DOS at the Fermi energy, states/eV per cell: 5.93

a = 7.727 Å, b = 7.727 Å, c = 7.727 Å
α = 102.81°, β = 102.81°, γ = 102.81°
Sites, in units of the cell vectors:
Ba 0.000 0.000 0.000
Bi 0.261 0.261 0.679
Bi 0.261 0.679 0.261
Bi 0.321 0.739 0.739
Bi 0.679 0.261 0.261
Bi 0.739 0.321 0.739
Bi 0.739 0.739 0.321
Pd 0.116 0.500 0.884
Pd 0.116 0.884 0.500
Pd 0.121 0.368 0.368
Pd 0.368 0.121 0.368
Pd 0.368 0.368 0.121
Pd 0.500 0.116 0.884
Pd 0.500 0.884 0.116
Pd 0.632 0.632 0.879
Pd 0.632 0.879 0.632
Pd 0.879 0.632 0.632
Pd 0.884 0.116 0.500
Pd 0.884 0.500 0.116


(7)
Density functional theory data (PBE) for BeHg2Br after structural relaxation.

Relative energy among the computed polymorphs, eV per atom: 0.6312
Magnetization, Bohr magnetons per cell: 0.00
DOS at the Fermi energy, states/eV per cell: 2.60
Energy relative to the elements, uncorrected, kJ per mole of atoms: 55

a = 5.147 Å, b = 5.147 Å, c = 3.587 Å
α = 90.00°, β = 90.00°, γ = 90.00°
Sites, in units of the cell vectors:
Be 0.000 0.000 0.000
Hg 0.000 0.500 0.500
Hg 0.500 0.000 0.500
Br 0.500 0.500 0.000


(8)
Density functional theory data (PBE) for Te2SeS after structural relaxation.

Relative energy among the computed polymorphs, eV per atom: 0.3977
Magnetization, Bohr magnetons per cell: 0.00
DOS at the Fermi energy, states/eV per cell: 3.01
Energy relative to the elements, uncorrected, kJ per mole of atoms: 46

a = 5.057 Å, b = 5.057 Å, c = 5.057 Å
α = 60.00°, β = 60.00°, γ = 60.00°
Sites, in units of the cell vectors:
Te 0.250 0.250 0.250
Te 0.750 0.750 0.750
Se 0.000 0.000 0.000
S 0.500 0.500 0.500